The following is a DFT calculation (PBE) of a geometry-optimized ReTeRh2 structure.

Properties
The total magnetization comes out at 0.0 μB per formula unit. For the uncorrected formation energy, the calculation gives 16 kJ per mole of atoms. Its symmetry is P4/mmm, No. 123. For the raw total energy, the calculation gives -7.41 eV per atom.

Cell and atoms, written as POSCAR:
```
ReTeRh2
1.0
2.909 0.000 0.000
0.000 2.909 0.000
0.000 0.000 7.948
Re Te Rh
1 1 2
Direct
0.000 0.000 0.000
0.000 0.000 0.500
0.500 0.500 0.220
0.500 0.500 0.780
```

---

The following is a DFT calculation (PBE) of a geometry-optimized Pm3Nd3ErS8 structure.

Properties
The total magnetization comes out at 0.0 μB per formula unit. For the uncorrected formation energy, the calculation gives -198 kJ per mole of atoms. Its symmetry is R-3m, No. 166. For the raw total energy, the calculation gives -6.47 eV per atom.

Cell and atoms, written as POSCAR:
```
Pm3Nd3ErS8
1.0
4.030 2.327 6.602
-4.030 2.327 6.602
0.000 -4.654 6.602
Pm Nd Er S
3 3 1 8
Direct
0.000 0.500 0.500
0.500 0.000 0.500
0.500 0.500 0.000
0.000 0.000 0.500
0.000 0.500 0.000
0.500 0.000 0.000
0.000 0.000 0.000
0.242 0.242 0.756
0.242 0.756 0.242
0.244 0.758 0.758
0.251 0.251 0.251
0.749 0.749 0.749
0.756 0.242 0.242
0.758 0.244 0.758
0.758 0.758 0.244
```

---

The following is a DFT calculation (PBE) of a geometry-optimized Sm2HSe structure.

Properties
The total magnetization comes out at 0.7 μB per formula unit. Its symmetry is P-3m1, No. 164. For the raw total energy, the calculation gives -5.09 eV per atom.

Cell and atoms, written as POSCAR:
```
Sm2HSe
1.0
3.909 0.000 0.000
-1.954 3.385 0.000
0.000 0.000 6.597
Sm H Se
2 1 1
Direct
0.333 0.667 0.215
0.667 0.333 0.785
0.000 0.000 0.000
0.000 0.000 0.500
```

---

The following is a DFT calculation (PBE) of a geometry-optimized ReSiOs structure.

Properties
The total magnetization comes out at 0.0 μB per formula unit. For the uncorrected formation energy, the calculation gives 29 kJ per mole of atoms. Its symmetry is Pnma, No. 62. For the raw total energy, the calculation gives -9.40 eV per atom.

Cell and atoms, written as POSCAR:
```
ReSiOs
1.0
8.469 0.000 0.000
0.000 3.929 0.000
0.000 0.000 5.693
Re Si Os
4 4 4
Direct
0.155 0.250 0.013
0.345 0.750 0.513
0.655 0.250 0.487
0.845 0.750 0.987
0.088 0.750 0.749
0.412 0.250 0.249
0.588 0.750 0.751
0.912 0.250 0.251
0.154 0.250 0.490
0.346 0.750 0.990
0.654 0.250 0.010
0.846 0.750 0.510
```

---

The following is a DFT calculation (PBE) of a geometry-optimized Fe3RePb structure.

Properties
The total magnetization comes out at 6.5 μB per formula unit. Its formation energy is 1.29 eV/atom. Its symmetry is Pm-3m, No. 221. For the raw total energy, the calculation gives -7.02 eV per atom.

Cell and atoms, written as POSCAR:
```
Fe3RePb
1.0
4.611 0.000 0.000
0.000 4.611 0.000
0.000 0.000 4.611
Fe Re Pb
3 1 1
Direct
0.000 0.000 0.500
0.000 0.500 0.000
0.500 0.000 0.000
0.000 0.000 0.000
0.500 0.500 0.500
```

---

The following is a DFT calculation (PBE) of a geometry-optimized Ag6HgAu structure.

Properties
The total magnetization comes out at 0.0 μB per formula unit. Its formation energy is 0.01 eV/atom. Its symmetry is P-6m2, No. 187. For the raw total energy, the calculation gives -2.57 eV per atom.

Cell and atoms, written as POSCAR:
```
Ag6HgAu
1.0
5.944 0.000 0.000
-2.972 5.147 0.000
0.000 0.000 4.827
Ag Hg Au
6 1 1
Direct
0.000 0.500 0.000
0.170 0.339 0.500
0.170 0.830 0.500
0.500 0.000 0.000
0.500 0.500 0.000
0.661 0.830 0.500
0.000 0.000 0.000
0.667 0.333 0.500
```

---

The following is a DFT calculation (PBE) of a geometry-optimized MnBr2Cl structure.

Properties
The total magnetization comes out at 4.5 μB per formula unit. For the uncorrected formation energy, the calculation gives -49 kJ per mole of atoms. Its symmetry is Imm2, No. 44. For the raw total energy, the calculation gives -4.10 eV per atom.

Cell and atoms, written as POSCAR:
```
MnBr2Cl
1.0
-1.631 3.247 5.831
1.631 -3.247 5.831
1.631 3.247 -5.831
Mn Br Cl
1 2 1
Direct
0.000 0.000 0.000
0.160 0.660 0.500
0.497 0.497 0.000
0.857 0.357 0.500
```

---

The following is a DFT calculation (PBE) of a geometry-optimized Ac8Si2Ru structure.

Properties
The total magnetization comes out at 0.0 μB per formula unit. For the uncorrected formation energy, the calculation gives -22 kJ per mole of atoms. Its symmetry is C2/m, No. 12. For the raw total energy, the calculation gives -5.05 eV per atom.

Cell and atoms, written as POSCAR:
```
Ac8Si2Ru
1.0
11.616 -2.200 0.000
11.616 2.200 0.000
-0.679 0.000 8.170
Ac Si Ru
8 2 1
Direct
0.009 0.009 0.233
0.235 0.235 0.700
0.372 0.372 0.962
0.397 0.397 0.459
0.603 0.603 0.541
0.628 0.628 0.038
0.765 0.765 0.300
0.991 0.991 0.767
0.164 0.164 0.338
0.836 0.836 0.662
0.500 0.500 0.000
```